No. 1
The following is a GGA-PBE calculation of an optimized crystal structure of Li2ErTl, from Alexandria.

Cell and atoms, written as POSCAR:
```
Li2ErTl
1.0
3.6948 0.0000 0.0000
0.0000 3.6948 0.0000
0.0000 0.0000 6.6209
Li Er Tl
2 1 1
direct
0.0000 0.0000 0.2138
0.0000 0.0000 0.7862
0.5000 0.5000 0.5000
0.5000 0.5000 0.0000
```

Results
* electronic total energy: -0.2029 Ry per atom
* M_tot: 0.000 μB per atom
* energy above the lowest structure with this stoichiometry: 136 meV per atom
* ΔH_f (0 K): -0.071 eV/atom
* DOS at the Fermi energy: 2.38 states/eV/f.u.



No. 2
The following is a GGA-PBE calculation of an optimized crystal structure of Li3ErTl2, from Alexandria.

Cell and atoms, written as POSCAR:
```
Li3ErTl2
1.0
7.1740 -2.2881 0.0000
7.1740 2.2881 0.0000
-4.6763 0.0000 7.8782
Li Er Tl
6 2 4
direct
0.0505 0.0505 0.3918
0.2601 0.2601 0.4285
0.4087 0.4087 0.3138
0.5913 0.5913 0.6862
0.7399 0.7399 0.5715
0.9495 0.9495 0.6082
0.1344 0.1344 0.0077
0.8656 0.8656 0.9923
0.2100 0.2100 0.7419
0.4414 0.4414 0.7948
0.5586 0.5586 0.2052
0.7900 0.7900 0.2581
```

Results
* electronic total energy: -0.2013 Ry per atom
* M_tot: 0.000 μB per atom
* ΔH_f (0 K): -0.233 eV/atom
* DOS at the Fermi energy: 2.23 states/eV/f.u.



No. 3
The following is a GGA-PBE calculation of an optimized crystal structure of LiErTl3, from Alexandria.

Cell and atoms, written as POSCAR:
```
LiErTl3
1.0
-2.2689 2.3141 12.4662
2.2689 -2.3141 12.4662
2.2689 2.3141 -12.4662
Li Er Tl
2 2 6
direct
0.3894 0.1394 0.2500
0.6106 0.8606 0.7500
0.1858 0.4358 0.7500
0.8142 0.5642 0.2500
0.0522 0.8022 0.2500
0.2879 0.0379 0.2500
0.4508 0.7008 0.7500
0.5492 0.2992 0.2500
0.7121 0.9621 0.7500
0.9478 0.1978 0.7500
```

Results
* electronic total energy: -0.2036 Ry per atom
* M_tot: 0.000 μB per atom
* ΔH_f (0 K): -0.055 eV/atom
* DOS at the Fermi energy: 1.61 states/eV/f.u.



No. 4
The following is a GGA-PBE calculation of an optimized crystal structure of Li2ErTl, from Alexandria.

Cell and atoms, written as POSCAR:
```
Li2ErTl
1.0
4.5140 0.0000 0.0000
0.0000 4.5140 0.0000
0.0000 0.0000 4.5242
Li Er Tl
2 1 1
direct
0.0000 0.5000 0.0000
0.5000 0.0000 0.0000
0.0000 0.0000 0.5000
0.5000 0.5000 0.5000
```

Results
* electronic total energy: -0.2042 Ry per atom
* M_tot: 0.000 μB per atom
* energy above the lowest structure with this stoichiometry: 118 meV per atom
* ΔH_f (0 K): -0.089 eV/atom
* DOS at the Fermi energy: 3.53 states/eV/f.u.



No. 5
The following is a GGA-PBE calculation of an optimized crystal structure of LiEr7Tl4, from Alexandria.

Cell and atoms, written as POSCAR:
```
LiEr7Tl4
1.0
7.2867 -2.7446 0.0000
7.2867 2.7446 0.0000
-6.7085 0.0000 8.8169
Li Er Tl
1 7 4
direct
0.0000 0.0000 0.0000
0.0703 0.0703 0.3283
0.2181 0.2181 0.8712
0.3402 0.3402 0.4066
0.5000 0.5000 0.0000
0.6598 0.6598 0.5934
0.7819 0.7819 0.1288
0.9297 0.9297 0.6717
0.2942 0.2942 0.6634
0.4293 0.4293 0.2197
0.5707 0.5707 0.7803
0.7058 0.7058 0.3366
```

Results
* electronic total energy: -0.2644 Ry per atom
* M_tot: 0.052 μB per atom
* ΔH_f (0 K): 0.013 eV/atom
* DOS at the Fermi energy: 12.18 states/eV/f.u.



No. 6
The following is a GGA-PBE calculation of an optimized crystal structure of Li2Er2Tl3, from Alexandria.

Cell and atoms, written as POSCAR:
```
Li2Er2Tl3
1.0
4.4150 0.0000 0.0000
0.0000 22.2785 0.0000
0.0000 0.0000 3.3834
Li Er Tl
4 4 6
direct
0.0000 0.2170 0.0000
0.0000 0.7830 0.0000
0.5000 0.2830 0.0000
0.5000 0.7170 0.0000
0.0000 0.0771 0.0000
0.0000 0.9229 0.0000
0.5000 0.4229 0.0000
0.5000 0.5771 0.0000
0.0000 0.3386 0.5000
0.0000 0.5000 0.5000
0.0000 0.6614 0.5000
0.5000 0.0000 0.5000
0.5000 0.1614 0.5000
0.5000 0.8386 0.5000
```

Results
* electronic total energy: -0.2274 Ry per atom
* M_tot: 0.000 μB per atom
* ΔH_f (0 K): -0.229 eV/atom
* DOS at the Fermi energy: 3.14 states/eV/f.u.



No. 7
The following is a GGA-PBE calculation of an optimized crystal structure of Li2Er5Tl4, from Alexandria.

Cell and atoms, written as POSCAR:
```
Li2Er5Tl4
1.0
8.3599 0.0000 0.0000
0.0000 3.3425 0.0000
-1.2512 0.0000 9.9991
Li Er Tl
2 5 4
direct
0.0687 0.0000 0.1242
0.9313 0.0000 0.8758
0.1533 0.0000 0.6458
0.4481 0.0000 0.1669
0.5000 0.0000 0.5000
0.5519 0.0000 0.8331
0.8467 0.0000 0.3542
0.1962 0.5000 0.3587
0.2390 0.5000 0.9262
0.7610 0.5000 0.0738
0.8038 0.5000 0.6413
```

Results
* electronic total energy: -0.2522 Ry per atom
* M_tot: 0.007 μB per atom
* ΔH_f (0 K): -0.149 eV/atom
* DOS at the Fermi energy: 10.33 states/eV/f.u.



No. 8
The following is a GGA-PBE calculation of an optimized crystal structure of LiEr2Tl3, from Alexandria.

Cell and atoms, written as POSCAR:
```
LiEr2Tl3
1.0
1.7186 -14.1114 0.0000
1.7186 14.1114 0.0000
0.0000 0.0000 6.5816
Li Er Tl
2 4 6
direct
0.1617 0.8383 0.7500
0.8383 0.1617 0.2500
0.3405 0.6595 0.7500
0.4959 0.5041 0.2500
0.5041 0.4959 0.7500
0.6595 0.3405 0.2500
0.0811 0.9189 0.0049
0.0811 0.9189 0.4951
0.2572 0.7428 0.2500
0.7428 0.2572 0.7500
0.9189 0.0811 0.5049
0.9189 0.0811 0.9951
```

Results
* electronic total energy: -0.2344 Ry per atom
* M_tot: 0.030 μB per atom
* energy above the lowest structure with this stoichiometry: 134 meV per atom
* ΔH_f (0 K): -0.166 eV/atom
* DOS at the Fermi energy: 4.70 states/eV/f.u.



No. 9
The following is a GGA-PBE calculation of an optimized crystal structure of LiEr3Tl, from Alexandria.

Cell and atoms, written as POSCAR:
```
LiEr3Tl
1.0
2.5171 -10.5515 0.0000
2.5171 10.5515 0.0000
0.0000 0.0000 5.0456
Li Er Tl
2 6 2
direct
0.1531 0.8469 0.7500
0.8469 0.1531 0.2500
0.0557 0.9443 0.2500
0.2490 0.7510 0.2500
0.4395 0.5605 0.2500
0.5605 0.4395 0.7500
0.7510 0.2490 0.7500
0.9443 0.0557 0.7500
0.3419 0.6581 0.7500
0.6581 0.3419 0.2500
```

Results
* electronic total energy: -0.2741 Ry per atom
* M_tot: 0.000 μB per atom
* energy above the lowest structure with this stoichiometry: 0 meV per atom
* ΔH_f (0 K): -0.135 eV/atom
* DOS at the Fermi energy: 5.04 states/eV/f.u.



No. 10
The following is a GGA-PBE calculation of an optimized crystal structure of LiErTm2Tl4, from Alexandria.

Cell and atoms, written as POSCAR:
```
LiErTm2Tl4
1.0
2.5981 1.5000 8.7319
-2.5981 1.5000 8.7319
0.0000 -3.0000 8.7319
Li Er Tm Tl
1 1 2 4
direct
0.0000 0.0000 0.0000
0.5000 0.5000 0.5000
0.2537 0.2537 0.2537
0.7463 0.7463 0.7463
0.1226 0.1226 0.1226
0.3725 0.3725 0.3725
0.6275 0.6275 0.6275
0.8774 0.8774 0.8774
```

Results
* electronic total energy: -0.2505 Ry per atom
* M_tot: 0.000 μB per atom
* ΔH_f (0 K): -0.298 eV/atom
* DOS at the Fermi energy: 4.45 states/eV/f.u.



No. 11
The following is a GGA-PBE calculation of an optimized crystal structure of Li2ErTm2Tl2, from Alexandria.

Cell and atoms, written as POSCAR:
```
Li2ErTm2Tl2
1.0
2.3927 1.3814 8.8191
-2.3927 1.3814 8.8191
0.0000 -2.7629 8.8191
Li Er Tm Tl
2 1 2 2
direct
0.1017 0.1017 0.1017
0.8983 0.8983 0.8983
0.5000 0.5000 0.5000
0.3726 0.3726 0.3726
0.6274 0.6274 0.6274
0.2385 0.2385 0.2385
0.7615 0.7615 0.7615
```

Results
* electronic total energy: -0.2431 Ry per atom
* M_tot: 0.000 μB per atom
* ΔH_f (0 K): -0.156 eV/atom
* DOS at the Fermi energy: 4.41 states/eV/f.u.



No. 12
The following is a GGA-PBE calculation of an optimized crystal structure of Li2ErTmTl4, from Alexandria.

Cell and atoms, written as POSCAR:
```
Li2ErTmTl4
1.0
2.5809 1.4901 8.3926
-2.5809 1.4901 8.3926
0.0000 -2.9802 8.3926
Li Er Tm Tl
2 1 1 4
direct
0.2499 0.2499 0.2499
0.7501 0.7501 0.7501
0.0000 0.0000 0.0000
0.5000 0.5000 0.5000
0.1253 0.1253 0.1253
0.3752 0.3752 0.3752
0.6248 0.6248 0.6248
0.8747 0.8747 0.8747
```

Results
* electronic total energy: -0.2271 Ry per atom
* M_tot: 0.000 μB per atom
* ΔH_f (0 K): -0.300 eV/atom
* DOS at the Fermi energy: 1.59 states/eV/f.u.



Repeat the third record exactly.
The following is a GGA-PBE calculation of an optimized crystal structure of LiErTl3, from Alexandria.

Cell and atoms, written as POSCAR:
```
LiErTl3
1.0
-2.2689 2.3141 12.4662
2.2689 -2.3141 12.4662
2.2689 2.3141 -12.4662
Li Er Tl
2 2 6
direct
0.3894 0.1394 0.2500
0.6106 0.8606 0.7500
0.1858 0.4358 0.7500
0.8142 0.5642 0.2500
0.0522 0.8022 0.2500
0.2879 0.0379 0.2500
0.4508 0.7008 0.7500
0.5492 0.2992 0.2500
0.7121 0.9621 0.7500
0.9478 0.1978 0.7500
```

Results
* electronic total energy: -0.2036 Ry per atom
* M_tot: 0.000 μB per atom
* ΔH_f (0 K): -0.055 eV/atom
* DOS at the Fermi energy: 1.61 states/eV/f.u.



Repeat the twelfth record exactly.
The following is a GGA-PBE calculation of an optimized crystal structure of Li2ErTmTl4, from Alexandria.

Cell and atoms, written as POSCAR:
```
Li2ErTmTl4
1.0
2.5809 1.4901 8.3926
-2.5809 1.4901 8.3926
0.0000 -2.9802 8.3926
Li Er Tm Tl
2 1 1 4
direct
0.2499 0.2499 0.2499
0.7501 0.7501 0.7501
0.0000 0.0000 0.0000
0.5000 0.5000 0.5000
0.1253 0.1253 0.1253
0.3752 0.3752 0.3752
0.6248 0.6248 0.6248
0.8747 0.8747 0.8747
```

Results
* electronic total energy: -0.2271 Ry per atom
* M_tot: 0.000 μB per atom
* ΔH_f (0 K): -0.300 eV/atom
* DOS at the Fermi energy: 1.59 states/eV/f.u.



Copy entry 6 word for word.
The following is a GGA-PBE calculation of an optimized crystal structure of Li2Er2Tl3, from Alexandria.

Cell and atoms, written as POSCAR:
```
Li2Er2Tl3
1.0
4.4150 0.0000 0.0000
0.0000 22.2785 0.0000
0.0000 0.0000 3.3834
Li Er Tl
4 4 6
direct
0.0000 0.2170 0.0000
0.0000 0.7830 0.0000
0.5000 0.2830 0.0000
0.5000 0.7170 0.0000
0.0000 0.0771 0.0000
0.0000 0.9229 0.0000
0.5000 0.4229 0.0000
0.5000 0.5771 0.0000
0.0000 0.3386 0.5000
0.0000 0.5000 0.5000
0.0000 0.6614 0.5000
0.5000 0.0000 0.5000
0.5000 0.1614 0.5000
0.5000 0.8386 0.5000
```

Results
* electronic total energy: -0.2274 Ry per atom
* M_tot: 0.000 μB per atom
* ΔH_f (0 K): -0.229 eV/atom
* DOS at the Fermi energy: 3.14 states/eV/f.u.



Q: M_tot of number 8 (LiEr2Tl3)?
A: 0.030 μB per atom